Record 1
Here is an optimized crystal structure of CeGe3Rh from the Alexandria database. Energies are from PBE.

## Properties
Formation energy from the elements in eV/atom: -0.693
Crystal system: tetragonal
Energy above the lowest structure with this stoichiometry in eV/atom: 0.000
Fermi-level density of states in states/eV per atom: 1.271
Total magnetization in μB per formula unit: 0.63

Unit cell a=5.9255 b=5.9255 c=5.9255 alpha=136.31 beta=136.31 gamma=63.49
Closest atoms and distances in Å follow each position.
Positions (direct):
Ce 0.4239 0.4239 0.0000  12 Ge 3.21-3.48, 5 Rh 3.40-3.52
Ge 0.9992 0.9992 0.0000  1 Rh 2.40
Ge 0.1572 0.6572 0.5000  2 Rh 2.44, 2 Ge 2.72
Ge 0.6572 0.1572 0.5000  2 Rh 2.44, 2 Ge 2.72
Rh 0.7613 0.7613 0.0000  5 Ge 2.40-2.44

=====

Record 2
Here is an optimized crystal structure of Ce2Ge4Rh3 from the Alexandria database. Energies are from PBE.

## Properties
Formation energy from the elements in eV/atom: -0.808
Crystal system: orthorhombic
Energy above the lowest structure with this stoichiometry in eV/atom: 0.000
Fermi-level density of states in states/eV per atom: 0.936
Total magnetization in μB per formula unit: 0.00

Unit cell a=5.7844 b=7.5301 c=7.9851 alpha=90.00 beta=111.24 gamma=90.00
Closest atoms and distances in Å follow each position.
Positions (direct):
Ge 0.6911 0.7500 0.8823  3 Rh 2.52-2.53
Ge 0.1911 0.7500 0.8823  3 Rh 2.52-2.53
Ge 0.3089 0.2500 0.1177  3 Rh 2.52-2.53
Ge 0.8089 0.2500 0.1177  3 Rh 2.52-2.53
Ge 0.6811 0.5227 0.3621  5 Rh 2.61-2.70
Ge 0.1811 0.9773 0.3621  5 Rh 2.61-2.70
Ge 0.3189 0.4773 0.6379  5 Rh 2.61-2.70
Ge 0.8189 0.0227 0.6379  5 Rh 2.61-2.70
Rh 0.9784 0.2500 0.4569  5 Ge 2.52-2.61
Rh 0.0216 0.7500 0.5431  5 Ge 2.52-2.61
Rh 0.5216 0.7500 0.5431  5 Ge 2.52-2.61
Rh 0.5000 0.5000 0.0000  6 Ge 2.53-2.70
Rh 0.4784 0.2500 0.4569  5 Ge 2.52-2.61
Rh 0.0000 0.0000 0.0000  6 Ge 2.53-2.70
Ce 0.6096 0.9091 0.2193  8 Ge 3.04-3.23, 4 Rh 3.06-3.39
Ce 0.1096 0.5909 0.2193  8 Ge 3.04-3.23, 4 Rh 3.06-3.39
Ce 0.8904 0.4091 0.7807  8 Ge 3.04-3.23, 4 Rh 3.06-3.39
Ce 0.3904 0.0909 0.7807  8 Ge 3.04-3.23, 4 Rh 3.06-3.39

=====

Record 3
Here is an optimized crystal structure of Ce2Ge3Rh from the Alexandria database. Energies are from PBE.

## Properties
Formation energy from the elements in eV/atom: -0.768
Crystal system: orthorhombic
Energy above the lowest structure with this stoichiometry in eV/atom: 0.023
Fermi-level density of states in states/eV per atom: 1.539
Total magnetization in μB per formula unit: 0.98

Unit cell a=8.0127 b=8.0127 c=8.0127 alpha=150.80 beta=148.87 gamma=43.20
Closest atoms and distances in Å follow each position.
Positions (direct):
Ge 0.7036 0.7036 0.0000  3 Ge 2.46-2.47
Ge 0.7979 0.2979 0.5000  1 Rh 2.42, 2 Ge 2.46
Ge 0.5380 0.5380 0.0000  2 Rh 2.44, 1 Ge 2.47
Ce 0.1226 0.1226 0.0000  2 Rh 3.15, 10 Ge 3.19-3.38
Ce 0.3774 0.8774 0.5000  8 Ge 3.13-3.37, 4 Rh 3.20
Rh 0.9605 0.4605 0.5000  3 Ge 2.42-2.44

=====

Record 4
Here is an optimized crystal structure of Ce3GeRh2 from the Alexandria database. Energies are from PBE.

## Properties
Formation energy from the elements in eV/atom: -0.675
Crystal system: orthorhombic
Fermi-level density of states in states/eV per atom: 1.669
Total magnetization in μB per formula unit: 0.10

Unit cell a=3.9168 b=4.7073 c=14.0673 alpha=90.00 beta=90.00 gamma=90.00
Closest atoms and distances in Å follow each position.
Positions (direct):
Ce 0.3883 0.5000 0.3130  3 Rh 2.77-3.00, 2 Ce 3.07
Ce 0.5803 0.5000 0.0000  4 Rh 2.70-2.85
Ce 0.6117 0.0000 0.1870  3 Rh 2.77-3.00, 2 Ce 3.07
Ce 0.4197 0.0000 0.5000  4 Rh 2.70-2.85
Ce 0.3883 0.5000 0.6870  3 Rh 2.77-3.00, 2 Ce 3.07
Ce 0.6117 0.0000 0.8130  3 Rh 2.77-3.00, 2 Ce 3.07
Rh 0.9456 0.0000 0.3605  5 Ce 2.70-3.00
Rh 0.9456 0.0000 0.6395  5 Ce 2.70-3.00
Rh 0.0544 0.5000 0.1395  5 Ce 2.70-3.00
Rh 0.0544 0.5000 0.8605  5 Ce 2.70-3.00
Ge 0.0847 0.0000 0.0000  8 Ce 3.05-3.34, 4 Rh 3.07
Ge 0.9153 0.5000 0.5000  8 Ce 3.05-3.34, 4 Rh 3.07